The following is a DFT calculation (PBE-GGA) of a relaxed structure of K5RbAu4.

Summary:
The calculation puts the total magnetization at 0.37 μB per formula unit. Its crystal system is orthorhombic. The value obtained for the formation energy is -170 meV/atom.

extended XYZ file:
```
10
Lattice="4.683 0.000 1.495 1.810 8.944 2.411 -0.430 0.148 9.428" Properties=species:S:1:pos:R:3 pbc="T T T"
K 2.997 3.354 10.814
Au 1.388 2.689 7.774
K 5.407 5.738 3.268
Au 2.334 6.403 4.812
K 4.347 8.654 6.586
K 4.202 4.546 7.041
Au 3.350 6.890 9.709
K 4.057 0.437 7.496
Rb 1.171 0.000 0.374
Au 0.371 2.201 2.878
```

***

The following is a DFT calculation (PBE-GGA) of a relaxed structure of KRbAu2.

Summary:
The calculation puts the total magnetization at 0.00 μB per formula unit. Its crystal system is orthorhombic. The value obtained for the formation energy is 149 meV/atom. The value obtained for the relative energy among the computed polymorphs is 1.81 eV/f.u.

extended XYZ file:
```
4
Lattice="9.734 -0.961 -1.441 -0.796 9.749 1.441 -5.307 -3.543 7.553" Properties=species:S:1:pos:R:3 pbc="T T T"
Au -1.495 1.521 2.204
Rb -3.051 3.103 4.497
Au -4.607 4.686 6.790
K 0.000 0.000 0.000
```